BaAlNi2 after structural relaxation. Source: the Alexandria database, functional PBE.

Calculated values
- E_tot (eV/cell) = -17.25
- N(E_F) (states/eV/cell) = 3.3

abc: 3.640 3.711 6.528
angles: 90.00 105.97 90.00
Fractional positions:
Ba (0.000, 0.000, 0.000)
Al (0.265, 0.500, 0.538)
Ni (0.640, 0.500, 0.285)
Ni (0.750, 0.000, 0.513)